NaTaTi2 | Alexandria via LeMat-Bulk | PBE | relaxed; space group = Fm-3m (225); polymorph energy (0 for the lowest one) = 0 meV per atom; magnetic moment = 0.00 μB/atom; E = -6.5444 eV/atom
1.0
4.603 -0.780 0.555
1.693 -1.170 4.227
1.567 -4.364 0.779
Na Ti Ta
1 2 1
Cartesian
0.000 0.000 0.000
1.966 -1.578 1.390
5.897 -4.735 4.171
3.932 -3.157 2.781